(1)
PaSi3Ni2: optimized geometry, PBE.

Geometry as POSCAR:
```
PaSi3Ni2
1.0
4.9189 -3.5691 0.0000
4.9189 3.5691 0.0000
0.0000 0.0000 5.0361
Pa Si Ni
2 6 4
direct
0.1504 0.8496 0.7500 Pa
0.8496 0.1504 0.2500 Pa
0.0262 0.6159 0.2500 Si
0.3841 0.9738 0.2500 Si
0.4387 0.5613 0.2500 Si
0.5613 0.4387 0.7500 Si
0.6159 0.0262 0.7500 Si
0.9738 0.3841 0.7500 Si
0.3043 0.3043 0.0000 Ni
0.3043 0.3043 0.5000 Ni
0.6957 0.6957 0.0000 Ni
0.6957 0.6957 0.5000 Ni
```

## Properties
ΔE_f (raw) in eV/atom: -0.475
Size of the total moment in μB per atom: 0.154

(2)
Pa2Si3Ni4: optimized geometry, PBE.

Geometry as POSCAR:
```
Pa2Si3Ni4
1.0
2.7254 -7.1329 0.0000
2.7254 7.1329 0.0000
0.0000 0.0000 6.8763
Pa Si Ni
4 6 8
direct
0.1016 0.8984 0.9049 Pa
0.3984 0.6016 0.4049 Pa
0.6016 0.3984 0.5951 Pa
0.8984 0.1016 0.0951 Pa
0.0000 0.0000 0.5000 Si
0.0153 0.4847 0.7500 Si
0.4847 0.0153 0.2500 Si
0.5000 0.5000 0.0000 Si
0.5153 0.9847 0.7500 Si
0.9847 0.5153 0.2500 Si
0.1762 0.8238 0.5088 Ni
0.1801 0.3199 0.7500 Ni
0.3199 0.1801 0.2500 Ni
0.3238 0.6762 0.0088 Ni
0.6762 0.3238 0.9912 Ni
0.6801 0.8199 0.7500 Ni
0.8199 0.6801 0.2500 Ni
0.8238 0.1762 0.4912 Ni
```

## Properties
ΔE_f (raw) in eV/atom: -0.577
Size of the total moment in μB per atom: 0.000

(3)
PaSiNi: optimized geometry, PBE.

Geometry as POSCAR:
```
PaSiNi
1.0
0.0000 3.0583 3.0583
3.0583 0.0000 3.0583
3.0583 3.0583 0.0000
Pa Si Ni
1 1 1
direct
0.0000 0.0000 0.0000 Pa
0.5000 0.5000 0.5000 Si
0.7500 0.7500 0.7500 Ni
```

## Properties
ΔE_f (raw) in eV/atom: -0.523
Size of the total moment in μB per atom: 0.000

(4)
Pa4Si8Ni: optimized geometry, PBE.

Geometry as POSCAR:
```
Pa4Si8Ni
1.0
3.8887 0.0000 0.0000
0.0000 3.9617 0.0000
0.0000 0.0000 15.9724
Pa Si Ni
4 8 1
direct
0.0000 0.0000 0.0000 Pa
0.0000 0.5000 0.4925 Pa
0.5000 0.0000 0.2091 Pa
0.5000 0.5000 0.7047 Pa
0.0000 0.0000 0.3512 Si
0.0000 0.0000 0.6430 Si
0.0000 0.5000 0.1485 Si
0.0000 0.5000 0.8436 Si
0.5000 0.0000 0.5535 Si
0.5000 0.0000 0.8441 Si
0.5000 0.5000 0.0632 Si
0.5000 0.5000 0.3508 Si
0.5000 0.5000 0.9188 Ni
```

## Properties
ΔE_f (raw) in eV/atom: -0.492
Size of the total moment in μB per atom: 0.000

Calculated energy, -80.4, -127.2, -22.3, -93.5 eV/cell (same order as the records).